# 1
# Ce2DyBr2N2

An optimized crystal structure of Ce2DyBr2N2 (PBE, Alexandria via LeMat-Bulk).

Computed properties:
raw formation energy = -1.357 eV per atom
calculated density = 6.493 g cm⁻³
DFT total energy = -6.566 eV/atom

Cell: 8.5545 8.5545 8.5545 Å, 149.45 149.45 43.75°
Closest atoms and distances in Å follow each position.
Sites, in units of the cell vectors:
Ce  0.0918  0.0918  0.0000  4 N 2.68, 1 Ce 2.91
Ce  0.9082  0.9082  0.0000  4 N 2.68, 1 Ce 2.91
Dy  0.5000  0.5000  0.0000  4 N 2.25
Br  0.3156  0.3156  0.0000  1 Dy 2.93
Br  0.6844  0.6844  0.0000  1 Dy 2.93
N  0.0000  0.5000  0.5000  2 Dy 2.25
N  0.5000  0.0000  0.5000  2 Dy 2.25

=====

# 2
# CeDyRuBr

An optimized crystal structure of CeDyRuBr (PBE, Alexandria via LeMat-Bulk).

Computed properties:
raw formation energy = -0.815 eV per atom
calculated density = 7.595 g cm⁻³
DFT total energy = -6.186 eV/atom

Cell: 3.9480 3.9480 8.1612 Å, 104.05 104.05 59.98°
Closest atoms and distances in Å follow each position.
Sites, in units of the cell vectors:
Ce  0.0000  0.0000  0.0000  3 Ru 2.65-2.66
Dy  0.2040  0.2040  0.6110  3 Ru 2.84
Ru  0.6094  0.6094  0.8265  3 Ce 2.65-2.66, 3 Dy 2.84
Br  0.4391  0.4391  0.3159  3 Dy 3.25, 3 Ce 3.36

=====

# 3
# CeEr2Br

An optimized crystal structure of CeEr2Br (PBE, Alexandria via LeMat-Bulk).

Computed properties:
raw formation energy = -0.488 eV per atom
calculated density = 8.145 g cm⁻³
DFT total energy = -4.671 eV/atom

Cell: 10.3221 10.3221 10.3221 Å, 20.05 20.05 20.05°
Closest atoms and distances in Å follow each position.
Sites, in units of the cell vectors:
Ce  0.0000  0.0000  0.0000  6 Er 3.43, 6 Ce 3.59
Er  0.2432  0.2432  0.2432  3 Br 3.11, 3 Ce 3.43
Er  0.7568  0.7568  0.7568  3 Br 3.11, 3 Ce 3.43
Br  0.5000  0.5000  0.5000  6 Er 3.11